<A>
ScTc2Ru2 | PBE-GGA | relaxed

The value obtained for the density of states at the Fermi level is 8.9 states/eV per cell.

It has space group P4/mbm (No. 127), with a = 7.544 Å, b = 7.544 Å, c = 2.789 Å, α = 90.00°, β = 90.00° and γ = 90.00°. The asymmetric unit holds Sc at (0.000, 0.000, 0.000), Tc at (0.171, 0.329, 0.500) and Ru at (0.124, 0.624, 0.000).

=====

<B>
ScTc2Ru2 | PBE-GGA | relaxed

The value obtained for the density of states at the Fermi level is 11.8 states/eV per cell.

It has space group P4/mbm (No. 127), with a = 7.566 Å, b = 7.566 Å, c = 2.784 Å, α = 90.00°, β = 90.00° and γ = 90.00°. The asymmetric unit holds Sc at (0.000, 0.000, 0.000), Tc at (0.121, 0.379, 0.000) and Ru at (0.171, 0.671, 0.500).

=====

<B> (8 meV/atom below the next structure)

=====

<A>
ScTe2Ru | PBE-GGA | relaxed

The value obtained for the density of states at the Fermi level is 12.3 states/eV per cell.

It has space group R-3m (No. 166, hexagonal axes), with a = 3.6962 Å, b = 3.6962 Å, c = 26.8077 Å, α = 90.00°, β = 90.00° and γ = 120.00°. The asymmetric unit holds Sc at (0.0000, 0.0000, 0.0000), Te at (0.0000, 0.0000, 0.1076) and Ru at (0.0000, 0.0000, 0.5000).

=====

<B>
ScTe2Ru | PBE-GGA | relaxed

The value obtained for the density of states at the Fermi level is 12.5 states/eV per cell.

It has space group I-42d (No. 122), with a = 6.003 Å, b = 6.003 Å, c = 13.324 Å, α = 90.00°, β = 90.00° and γ = 90.00°. The asymmetric unit holds Sc at (0.000, 0.000, 0.000), Te at (0.213, 0.250, 0.625) and Ru at (0.000, 0.000, 0.500).

=====

<C>
ScTe2Ru | PBE-GGA | relaxed

The value obtained for the density of states at the Fermi level is 14.2 states/eV per cell.

It has space group Fm-3m (No. 225), with a = 6.913 Å, b = 6.913 Å, c = 6.913 Å, α = 90.00°, β = 90.00° and γ = 90.00°. The asymmetric unit holds Sc at (0.000, 0.000, 0.000), Te at (0.250, 0.250, 0.250) and Ru at (0.000, 0.000, 0.500).

=====

<C> (62 meV/atom below the next structure)

=====

<A>
ScTe2Ru | PBE-GGA | relaxed

The value obtained for the density of states at the Fermi level is 8.0 states/eV per cell.

It has space group I-4m2 (No. 119), with a = 4.038 Å, b = 4.038 Å, c = 10.320 Å, α = 90.00°, β = 90.00° and γ = 90.00°. The asymmetric unit holds Sc at (0.000, 0.000, 0.000), Te at (0.000, 0.000, 0.500), Te at (0.000, 0.500, 0.750) and Ru at (0.000, 0.500, 0.250).

=====

<B>
ScTe2Ru | PBE-GGA | relaxed

The value obtained for the density of states at the Fermi level is 10.0 states/eV per cell.

It has space group Cmmm (No. 65), with a = 4.576 Å, b = 5.153 Å, c = 7.043 Å, α = 90.00°, β = 90.00° and γ = 90.00°. The asymmetric unit holds Sc at (0.000, 0.000, 0.000), Te at (0.000, 0.500, 0.264) and Ru at (0.000, 0.000, 0.500).

=====

<C>
ScTe2Ru | PBE-GGA | relaxed

The value obtained for the density of states at the Fermi level is 2.1 states/eV per cell.

It has space group P4mm (No. 99), with a = 3.625 Å, b = 3.625 Å, c = 7.489 Å, α = 90.00°, β = 90.00° and γ = 90.00°. The asymmetric unit holds Sc at (0.000, 0.000, 0.000), Te at (0.000, 0.000, 0.613), Te at (0.500, 0.500, 0.166) and Ru at (0.500, 0.500, 0.777).

=====

<C> (315 meV/atom below the next structure)

=====

<A>
ScTe2Ru | PBE-GGA | relaxed

The value obtained for the density of states at the Fermi level is 2.1 states/eV per cell.

It has space group P4/mmm (No. 123), with a = 4.842 Å, b = 4.842 Å, c = 3.441 Å, α = 90.00°, β = 90.00° and γ = 90.00°. The asymmetric unit holds Sc at (0.000, 0.000, 0.000), Te at (0.000, 0.500, 0.500) and Ru at (0.500, 0.500, 0.000).

=====

<B>
ScTe2Ru | PBE-GGA | relaxed

The value obtained for the density of states at the Fermi level is 4.3 states/eV per cell.

It has space group R3m (No. 160, hexagonal axes), with a = 3.9715 Å, b = 3.9715 Å, c = 23.1568 Å, α = 90.00°, β = 90.00° and γ = 120.00°. The asymmetric unit holds Sc at (0.0000, 0.0000, 0.0000), Te at (0.0000, 0.0000, 0.2597), Te at (0.0000, 0.0000, 0.4602) and Ru at (0.0000, 0.0000, 0.7460).

=====

<A> (65 meV/atom below the next structure)

=====

<A>
ScTe2Ru | PBE-GGA | relaxed

The value obtained for the density of states at the Fermi level is 10.6 states/eV per cell.

It has space group R-3m (No. 166, hexagonal axes), with a = 4.1953 Å, b = 4.1953 Å, c = 17.7514 Å, α = 90.00°, β = 90.00° and γ = 120.00°. The asymmetric unit holds Sc at (0.0000, 0.0000, 0.0000), Te at (0.0000, 0.0000, 0.2395) and Ru at (0.0000, 0.0000, 0.5000).

=====

<B>
ScTe2Ru | PBE-GGA | relaxed

The value obtained for the density of states at the Fermi level is 13.3 states/eV per cell.

It has space group F-43m (No. 216), with a = 7.033 Å, b = 7.033 Å, c = 7.033 Å, α = 90.00°, β = 90.00° and γ = 90.00°. The asymmetric unit holds Sc at (0.000, 0.000, 0.000), Te at (0.000, 0.000, 0.500), Te at (0.250, 0.250, 0.250) and Ru at (0.250, 0.250, 0.750).

=====

<C>
ScTe2Ru | PBE-GGA | relaxed

The value obtained for the density of states at the Fermi level is 4.5 states/eV per cell.

It has space group Amm2 (No. 38), with a = 4.291 Å, b = 3.837 Å, c = 10.597 Å, α = 90.00°, β = 90.00° and γ = 90.00°. The asymmetric unit holds Sc at (0.000, 0.000, 0.000), Te at (0.000, 0.000, 0.711), Te at (0.500, 0.000, 0.423) and Ru at (0.500, 0.000, 0.168).

=====

<D>
ScTe2Ru | PBE-GGA | relaxed

The value obtained for the density of states at the Fermi level is 3.1 states/eV per cell.

It has space group P2/m (No. 10), with a = 4.789 Å, b = 4.172 Å, c = 4.803 Å, α = 90.00°, β = 102.21° and γ = 90.00°. The asymmetric unit holds Sc at (0.000, 0.000, 0.000), Te at (0.283, 0.500, 0.717) and Ru at (0.500, 0.000, 0.500).

=====

<C> (90 meV/atom below the next structure)

=====

<A>
Th2ScRu | PBE-GGA | relaxed

The value obtained for the density of states at the Fermi level is 20.2 states/eV per cell.

It has space group R-3m (No. 166, hexagonal axes), with a = 3.7584 Å, b = 3.7584 Å, c = 29.8574 Å, α = 90.00°, β = 90.00° and γ = 120.00°. The asymmetric unit holds Th at (0.0000, 0.0000, 0.1084), Sc at (0.0000, 0.0000, 0.0000) and Ru at (0.0000, 0.0000, 0.5000).

=====

<B>
Th2ScRu | PBE-GGA | relaxed

The value obtained for the density of states at the Fermi level is 6.8 states/eV per cell.

It has space group P4/mmm (No. 123), with a = 3.677 Å, b = 3.677 Å, c = 7.570 Å, α = 90.00°, β = 90.00° and γ = 90.00°. The asymmetric unit holds Th at (0.000, 0.000, 0.213), Sc at (0.500, 0.500, 0.500) and Ru at (0.500, 0.500, 0.000).

=====

<B> (283 meV/atom below the next structure)